Below is a relaxed Li4BiAu crystal, with properties calculated at the PBE level.

Calculated values
For the relative energy among the computed polymorphs, the calculation gives 0.30 eV/f.u. The calculation puts the volume at 107.0 Å³/cell. The value obtained for the energy of formation from the pure elements is -0.42 eV/atom. The value obtained for the density of states at the Fermi level is 1.76 states/eV per cell.

a b c (Å): 4.587 5.436 5.436
angles (deg): 92.35 64.88 64.88
Atoms (fractional coordinates):
Li  0.261  0.076  0.403
Li  0.261  0.403  0.076
Li  0.739  0.597  0.924
Li  0.739  0.924  0.597
Bi  0.500  0.500  0.500
Au  0.000  0.000  0.000


Below is a relaxed LiBi2Au crystal, with properties calculated at the PBE level.

Calculated values
For the relative energy among the computed polymorphs, the calculation gives 0.01 eV/f.u. The calculation puts the volume at 100.9 Å³/cell. The value obtained for the energy of formation from the pure elements is -0.20 eV/atom. The value obtained for the density of states at the Fermi level is 1.45 states/eV per cell.

a b c (Å): 4.482 4.482 6.361
angles (deg): 69.08 69.37 60.00
Atoms (fractional coordinates):
Bi  0.897  0.661  0.545
Bi  0.709  0.470  0.113
Li  0.470  0.233  0.826
Au  0.135  0.898  0.833